[1]
CaTiP2O | PBEsol | optimized geometry

Unit cell a=4.976 b=4.976 c=4.005 alpha=90.00 beta=90.00 gamma=90.00
Positions (direct):
1 Ca 0.000 0.000 0.000
2 Ti 0.500 0.500 0.500
3 P 0.000 0.500 0.000
4 P 0.500 0.000 0.000
5 O 0.000 0.000 0.500

Values from the calculation:
Its space-group type is P4/mmm. The energy above the most stable polymorph in this dataset is 1581 meV per atom. Its raw total energy is -4.976 eV per atom.

[2]
CaTi2P2O10 | PBEsol | optimized geometry

Unit cell a=8.822 b=6.875 c=9.956 alpha=59.95 beta=42.42 gamma=77.63
Positions (direct):
1 Ca 0.000 0.000 0.000
2 Ca 0.250 0.250 0.250
3 Ti 0.150 0.624 0.609
4 Ti 0.624 0.150 0.617
5 Ti 0.633 0.641 0.626
6 Ti 0.641 0.633 0.100
7 P 0.046 0.462 0.038
8 P 0.212 0.796 0.204
9 P 0.462 0.046 0.454
10 P 0.796 0.212 0.788
11 O 0.011 0.333 0.690
12 O 0.079 0.390 0.894
13 O 0.184 0.863 0.347
14 O 0.248 0.916 0.556
15 O 0.284 0.560 0.917
16 O 0.333 0.011 0.966
17 O 0.356 0.614 0.171
18 O 0.390 0.079 0.636
19 O 0.422 0.585 0.412
20 O 0.560 0.284 0.239
21 O 0.585 0.422 0.580
22 O 0.614 0.356 0.860
23 O 0.645 0.903 0.387
24 O 0.670 0.838 0.665
25 O 0.694 0.970 0.002
26 O 0.838 0.670 0.828
27 O 0.863 0.184 0.605
28 O 0.903 0.645 0.066
29 O 0.916 0.248 0.280
30 O 0.970 0.694 0.334

Values from the calculation:
Its space-group type is Fdd2. Its raw total energy is -8.261 eV per atom.

We obtain theoretical density values of 2.8, 3.5 g/cm³ for the records listed above, in that order.
We obtain DOS(E_F) values of 5.44, 0.00 states/eV/f.u. for the records listed above, in that order.